1.
# Ge3WO PBEsol relaxed
# E_form (uncorrected): 8.81 kcal/mol of atoms
# crystal system: cubic
# theoretical density: 9.5 g/cm³
# raw total energy: -32.0 eV for the cell shown
data_Ge3WO
_chemical_formula_sum 'Ge3 W1 O1'
_cell_length_a 4.185
_cell_length_b 4.185
_cell_length_c 4.185
_cell_angle_alpha 90.00
_cell_angle_beta 90.00
_cell_angle_gamma 90.00
_symmetry_space_group_name_H-M 'P 1'
_symmetry_Int_Tables_number 1
loop_
_symmetry_equiv_pos_as_xyz
'x,y,z'
loop_
_atom_site_label
_atom_site_fract_x
_atom_site_fract_y
_atom_site_fract_z
_atom_site_occupancy
Ge1 0.000 0.500 0.000 1
Ge2 0.000 0.000 0.500 1
Ge3 0.500 0.000 0.000 1
O1 0.000 0.000 0.000 1
W1 0.500 0.500 0.500 1

---

2.
# Y2Ge2O7 PBEsol relaxed
# E_form (uncorrected): -60.92 kcal/mol of atoms
# crystal system: monoclinic
# theoretical density: 4.7 g/cm³
# raw total energy: -89.3 eV for the cell shown
# ΔE to the lowest computed polymorph: 51.1 meV/atom
data_Y2Ge2O7
_chemical_formula_sum 'Y2 Ge2 O7'
_cell_length_a 4.953
_cell_length_b 5.738
_cell_length_c 5.738
_cell_angle_alpha 105.34
_cell_angle_beta 97.31
_cell_angle_gamma 97.31
_symmetry_space_group_name_H-M 'P 1'
_symmetry_Int_Tables_number 1
loop_
_symmetry_equiv_pos_as_xyz
'x,y,z'
loop_
_atom_site_label
_atom_site_fract_x
_atom_site_fract_y
_atom_site_fract_z
_atom_site_occupancy
Y1 0.000 0.694 0.306 1
Y2 0.000 0.306 0.694 1
Ge1 0.591 0.770 0.770 1
Ge2 0.409 0.230 0.230 1
O1 0.788 0.601 0.919 1
O2 0.788 0.919 0.601 1
O3 0.276 0.599 0.599 1
O4 0.500 0.000 0.000 1
O5 0.724 0.401 0.401 1
O6 0.212 0.399 0.081 1
O7 0.212 0.081 0.399 1

---

3.
# Y2Ge2O7 PBEsol relaxed
# E_form (uncorrected): -62.10 kcal/mol of atoms
# crystal system: cubic
# theoretical density: 5.9 g/cm³
# raw total energy: -179.8 eV for the cell shown
# ΔE to the lowest computed polymorph: 0.0 meV/atom
data_Y2Ge2O7
_chemical_formula_sum 'Y4 Ge4 O14'
_cell_length_a 7.005
_cell_length_b 7.005
_cell_length_c 7.005
_cell_angle_alpha 60.00
_cell_angle_beta 60.00
_cell_angle_gamma 60.00
_symmetry_space_group_name_H-M 'P 1'
_symmetry_Int_Tables_number 1
loop_
_symmetry_equiv_pos_as_xyz
'x,y,z'
loop_
_atom_site_label
_atom_site_fract_x
_atom_site_fract_y
_atom_site_fract_z
_atom_site_occupancy
Y1 0.625 0.625 0.125 1
Y2 0.625 0.125 0.625 1
Y3 0.625 0.625 0.625 1
Y4 0.125 0.625 0.625 1
Ge1 0.625 0.125 0.125 1
Ge2 0.125 0.125 0.125 1
Ge3 0.125 0.625 0.125 1
Ge4 0.125 0.125 0.625 1
O1 0.797 0.203 0.203 1
O2 0.047 0.453 0.453 1
O3 0.797 0.797 0.203 1
O4 0.203 0.203 0.797 1
O5 0.500 0.500 0.500 1
O6 0.203 0.797 0.203 1
O7 0.797 0.203 0.797 1
O8 0.047 0.453 0.047 1
O9 0.453 0.453 0.047 1
O10 0.047 0.047 0.453 1
O11 0.750 0.750 0.750 1
O12 0.453 0.047 0.453 1
O13 0.203 0.797 0.797 1
O14 0.453 0.047 0.047 1

---

4.
# Y2GeO PBEsol relaxed
# E_form (uncorrected): -25.55 kcal/mol of atoms
# crystal system: cubic
# theoretical density: 5.9 g/cm³
# raw total energy: -28.3 eV for the cell shown
data_Y2GeO
_chemical_formula_sum 'Y2 Ge1 O1'
_cell_length_a 4.734
_cell_length_b 4.734
_cell_length_c 4.734
_cell_angle_alpha 60.00
_cell_angle_beta 60.00
_cell_angle_gamma 60.00
_symmetry_space_group_name_H-M 'P 1'
_symmetry_Int_Tables_number 1
loop_
_symmetry_equiv_pos_as_xyz
'x,y,z'
loop_
_atom_site_label
_atom_site_fract_x
_atom_site_fract_y
_atom_site_fract_z
_atom_site_occupancy
Y1 0.250 0.250 0.250 1
Y2 0.750 0.750 0.750 1
Ge1 0.500 0.500 0.500 1
O1 0.000 0.000 0.000 1

---

Please write out number 4 again, unchanged.
# Y2GeO PBEsol relaxed
# E_form (uncorrected): -25.55 kcal/mol of atoms
# crystal system: cubic
# theoretical density: 5.9 g/cm³
# raw total energy: -28.3 eV for the cell shown
data_Y2GeO
_chemical_formula_sum 'Y2 Ge1 O1'
_cell_length_a 4.734
_cell_length_b 4.734
_cell_length_c 4.734
_cell_angle_alpha 60.00
_cell_angle_beta 60.00
_cell_angle_gamma 60.00
_symmetry_space_group_name_H-M 'P 1'
_symmetry_Int_Tables_number 1
loop_
_symmetry_equiv_pos_as_xyz
'x,y,z'
loop_
_atom_site_label
_atom_site_fract_x
_atom_site_fract_y
_atom_site_fract_z
_atom_site_occupancy
Y1 0.250 0.250 0.250 1
Y2 0.750 0.750 0.750 1
Ge1 0.500 0.500 0.500 1
O1 0.000 0.000 0.000 1